VASP calculation (PBE) on TbPrHo2Tm after structural relaxation.

Computed properties:
- energy relative to the elements (eV per atom) = 0.385
- VASP energy (eV per atom) = -4.22
- ρ (g/cm³) = 7.7

CIF file:
```
data_TbPrHo2Tm
_chemical_formula_sum 'Tb2 Pr2 Ho4 Tm2'
_cell_length_a 7.198
_cell_length_b 8.386
_cell_length_c 7.103
_cell_angle_alpha 126.18
_cell_angle_beta 90.00
_cell_angle_gamma 90.00
_symmetry_space_group_name_H-M 'P 1'
_symmetry_Int_Tables_number 1
loop_
_symmetry_equiv_pos_as_xyz
'x,y,z'
loop_
_atom_site_label
_atom_site_type_symbol
_atom_site_fract_x
_atom_site_fract_y
_atom_site_fract_z
Tb1 Tb 0.250 0.001 0.001
Tb2 Tb 0.750 0.999 0.999
Pr1 Pr 0.250 0.729 0.459
Pr2 Pr 0.750 0.271 0.541
Ho1 Ho 0.500 0.311 0.000
Ho2 Ho 0.000 0.689 0.000
Ho3 Ho 0.500 0.689 0.000
Ho4 Ho 0.000 0.311 0.000
Tm1 Tm 0.750 0.720 0.440
Tm2 Tm 0.250 0.280 0.560
```